Ba3RhI: optimized geometry, PBE-GGA.

Computed properties:
The distance to the lowest polymorph of the same formula is 8.74 kJ/mol of atoms. As for the space group: Pm-3m (221). The value obtained for the uncorrected formation energy is -0.50 eV/atom. The total energy is -0.1261 Ha/atom.

Cell lengths 6.112, 6.112, 6.112 Å; angles 90.00, 90.00, 90.00 degrees
Fractional positions:
Rh (0.000, 0.000, 0.000)
Ba (0.500, 0.000, 0.000)
Ba (0.000, 0.500, 0.000)
Ba (0.000, 0.000, 0.500)
I (0.500, 0.500, 0.500)